Entry 1:
This record from the Alexandria database describes an optimized crystal structure of MgPtI2. The functional is PBE.

Summary:
As for the energy above the lowest structure with this stoichiometry: 373 meV/atom. For the electronic total energy, the calculation gives -2.441 eV/atom. The value obtained for the density of states at the Fermi level is 2.350 states/eV/f.u. As for the space group: Fm-3m (225). The value obtained for the raw formation energy is 0.24 eV per atom.

Unit cell a=5.208 b=5.208 c=5.208 alpha=60.00 beta=60.00 gamma=60.00
Element x y z (fractional)
1 I 0.750 0.750 0.750
2 Pt 0.500 0.500 0.500
3 I 0.250 0.250 0.250
4 Mg 0.000 0.000 0.000

Entry 2:
This record from the Alexandria database describes an optimized crystal structure of KIrRh. The functional is PBE.

Summary:
As for the energy above the lowest structure with this stoichiometry: 0 meV/atom. The value obtained for the formation energy is 0.361 eV/atom. For the electronic total energy, the calculation gives -5.409 eV/atom. The value obtained for the density of states at the Fermi level is 3.128 states/eV/f.u. As for the space group: Imm2 (44).

Unit cell a=6.401 b=6.401 c=6.401 alpha=155.19 beta=142.94 gamma=45.12
Element x y z (fractional)
1 K 0.334 0.334 0.000
2 Ir 0.053 0.053 0.000
3 Rh 0.614 0.614 0.000

Entry 3:
This record from the Alexandria database describes an optimized crystal structure of Ba2AcSn3Hg12. The functional is PBE.

Summary:
The value obtained for the formation energy is -0.068 eV/atom. For the electronic total energy, the calculation gives -1.379 eV/atom. The value obtained for the density of states at the Fermi level is 7.972 states/eV/f.u. As for the space group: R-3m (166).

Unit cell a=9.079 b=9.079 c=9.079 alpha=69.67 beta=69.67 gamma=69.67
Element x y z (fractional)
1 Hg 0.291 0.291 0.830
2 Hg 0.291 0.830 0.291
3 Hg 0.709 0.709 0.170
4 Ba 0.592 0.592 0.592
5 Hg 0.607 0.161 0.161
6 Ba 0.408 0.408 0.408
7 Hg 0.830 0.291 0.291
8 Hg 0.170 0.709 0.709
9 Hg 0.839 0.393 0.839
10 Hg 0.161 0.607 0.161
11 Sn 0.000 0.500 0.000
12 Hg 0.161 0.161 0.607
13 Hg 0.393 0.839 0.839
14 Sn 0.500 0.000 0.000
15 Hg 0.709 0.170 0.709
16 Hg 0.839 0.839 0.393
17 Sn 0.000 0.000 0.500
18 Ac 0.000 0.000 0.000

Entry 4:
This record from the Alexandria database describes an optimized crystal structure of CrSbCl2. The functional is PBE.

Summary:
As for the energy above the lowest structure with this stoichiometry: 39 meV/atom. For the electronic total energy, the calculation gives -4.723 eV/atom. The value obtained for the density of states at the Fermi level is 1.287 states/eV/f.u. As for the space group: Cm (8). The value obtained for the raw formation energy is -0.36 eV per atom.

Unit cell a=7.015 b=7.015 c=5.486 alpha=77.24 beta=77.24 gamma=27.36
Element x y z (fractional)
1 Sb 0.126 0.126 0.317
2 Cr 0.468 0.468 0.603
3 Cl 0.845 0.845 0.661
4 Cl 0.061 0.061 0.919